# ZrTcIr2 | Alexandria via LeMat-Bulk | PBE-GGA | optimized geometry
# Density: 14.86 g cm⁻³
# Density of states at the Fermi level: 1.08 states/eV/atom
# Energy of formation: -0.26 eV per atom
data_ZrTcIr2
_space_group_name_H-M_alt 'C 1 2/m 1'
_space_group_IT_number 12
_space_group_name_Hall '-C 2y'
_cell_length_a 9.431
_cell_length_b 2.845
_cell_length_c 4.851
_cell_angle_alpha 90.00
_cell_angle_beta 99.83
_cell_angle_gamma 90.00
loop_
_atom_site_label
_atom_site_fract_x
_atom_site_fract_y
_atom_site_fract_z
_atom_site_occupancy
Zr1 0.000 0.000 0.000 1
Tc1 0.000 0.500 0.500 1
Ir1 0.245 0.000 0.732 1